The following is a DFT calculation (PBE) of a relaxed CsZn2Ga2 crystal.

Cell and atoms, written as extended XYZ:
```
5
Lattice="-2.2769 2.2769 6.8280 2.2769 -2.2769 6.8280 2.2769 2.2769 -6.8280" Properties=species:S:1:pos:R:3 pbc="T T T"
Cs 0.0000 0.0000 0.0000
Zn 2.2769 0.0000 3.4140
Zn 0.0000 2.2769 3.4140
Ga 0.0000 0.0000 4.6417
Ga 0.0000 0.0000 9.0144
```

Values from the calculation:
Total magnetic moment (μB/f.u.): 0.00
Calculated volume (Å³ per atom): 28.32
Total energy (eV/atom): -1.87
Energy of formation from the pure elements (kcal/mol of atoms): 0.58
Space-group type: I4/mmm

=====

The following is a DFT calculation (PBE) of a relaxed CsZnGa2 crystal.

Cell and atoms, written as extended XYZ:
```
8
Lattice="-2.8550 2.8550 8.4382 2.8550 -2.8550 8.4382 2.8550 2.8550 -8.4382" Properties=species:S:1:pos:R:3 pbc="T T T"
Cs 2.8550 1.4275 2.1096
Cs 0.0000 1.4275 6.3287
Zn 2.8550 -1.4275 6.3287
Zn 0.0000 4.2826 2.1096
Ga 0.0000 0.0000 0.0000
Ga 1.4275 1.4275 -4.2191
Ga 1.4275 -1.4275 4.2191
Ga 0.0000 2.8550 0.0000
```

Values from the calculation:
Total magnetic moment (μB/f.u.): 0.00
Calculated volume (Å³ per atom): 34.39
Total energy (eV/atom): -1.92
Energy of formation from the pure elements (kcal/mol of atoms): 2.93
Space-group type: I4_1/amd

=====

The following is a DFT calculation (PBE) of a relaxed CsZn2Ga6 crystal.

Cell and atoms, written as extended XYZ:
```
9
Lattice="5.7392 -3.9422 0.0000 5.7392 3.9422 0.0000 -1.5115 0.0000 4.6275" Properties=species:S:1:pos:R:3 pbc="T T T"
Cs 0.0000 0.0000 0.0000
Zn 4.4249 0.0000 0.0881
Zn 5.5421 0.0000 4.5394
Ga 1.4186 1.5221 3.3055
Ga 4.9835 1.3376 2.3138
Ga 1.4186 -1.5221 3.3055
Ga 8.5483 1.5221 1.3221
Ga 4.9835 -1.3376 2.3138
Ga 8.5483 -1.5221 1.3221
```

Values from the calculation:
Total magnetic moment (μB/f.u.): 0.00
Calculated volume (Å³ per atom): 23.27
Total energy (eV/atom): -2.38
Energy of formation from the pure elements (kcal/mol of atoms): 0.33
Space-group type: C2/m

=====

The following is a DFT calculation (PBE) of a relaxed Cs3Zn2Ga4 crystal.

Cell and atoms, written as extended XYZ:
```
9
Lattice="4.3593 0.0000 0.0000 -0.9271 6.8308 0.0000 -1.8565 -2.7023 10.7928" Properties=species:S:1:pos:R:3 pbc="T T T"
Cs 0.0000 0.0000 0.0000
Cs 0.9784 0.3684 4.2083
Cs 0.5973 3.7601 6.5845
Zn 0.6074 3.8721 2.0542
Zn 0.9683 0.2564 8.7386
Ga -1.2103 0.4061 7.3805
Ga -1.1941 0.9235 9.9768
Ga 2.7698 3.2050 0.8160
Ga 2.7860 3.7224 3.4124
```

Values from the calculation:
Total magnetic moment (μB/f.u.): 0.00
Calculated volume (Å³ per atom): 35.71
Total energy (eV/atom): -1.96
Energy of formation from the pure elements (kcal/mol of atoms): -1.15
Space-group type: P-1

=====

The following is a DFT calculation (PBE) of a relaxed CsZnGa2 crystal.

Cell and atoms, written as extended XYZ:
```
4
Lattice="2.2034 1.2721 7.1196 -2.2034 1.2721 7.1196 0.0000 -2.5442 7.1196" Properties=species:S:1:pos:R:3 pbc="T T T"
Cs 0.0000 0.0000 0.0000
Zn 0.0000 0.0000 10.6794
Ga 0.0000 0.0000 4.2754
Ga 0.0000 0.0000 17.0835
```

Values from the calculation:
Total magnetic moment (μB/f.u.): 0.00
Calculated volume (Å³ per atom): 29.93
Total energy (eV/atom): -2.08
Energy of formation from the pure elements (kcal/mol of atoms): -0.85
Space-group type: R-3m

=====

The following is a DFT calculation (PBE) of a relaxed CsZn2Ga2 crystal.

Cell and atoms, written as extended XYZ:
```
10
Lattice="8.9496 0.0000 0.0000 0.0000 8.9496 0.0000 0.0000 0.0000 3.1249" Properties=species:S:1:pos:R:3 pbc="T T T"
Cs 0.0000 0.0000 0.0000
Cs 4.4748 4.4748 0.0000
Zn 1.1235 3.3512 0.0000
Zn 3.3512 7.8260 0.0000
Zn 5.5983 1.1235 0.0000
Zn 7.8260 5.5983 0.0000
Ga 1.2560 5.7308 1.5625
Ga 3.2188 1.2560 1.5625
Ga 5.7308 7.6936 1.5625
Ga 7.6936 3.2188 1.5625
```

Values from the calculation:
Total magnetic moment (μB/f.u.): 0.00
Calculated volume (Å³ per atom): 25.03
Total energy (eV/atom): -1.69
Energy of formation from the pure elements (kcal/mol of atoms): 4.74
Space-group type: P4/mbm